Density functional theory data (PBE) for Li4ScP after structural relaxation.

Cell lengths 7.3078, 7.3078, 7.3078 Å; angles 90.00, 90.00, 90.00 degrees
Last column: nearest neighbours and their distance in Å.
Space group F-43m (No. 216)
Inequivalent atoms, fractional coordinates:
Li 0.1240 0.1240 0.1240 x16  6 Li 2.56-2.61
Sc 0.0000 0.0000 0.5000 x4  12 Li 3.03, 4 P 3.16
P 0.2500 0.2500 0.7500 x4  12 Li 3.03, 4 Sc 3.16

Summary:
Formation energy from the elements = 49 meV per atom
Fermi-level density of states = 16.24 states/eV/cell
V = 390 Å³ per cell
Total magnetization = 0.1 μB/f.u.